Material: SrIrRh2
Method: DFT, PBE
State: relaxed

Values from the calculation:
DOS at the Fermi energy in states/eV/f.u.: 4.29
Excess energy over the best structure of this formula in the dataset in meV per atom: 312
DFT formation energy in eV per atom: 0.177

Cell: 4.8874 4.8874 5.5824 Å, 80.69 80.69 34.46°
Element x y z (fractional)
Ir: 0.2619 0.2619 0.1689
Rh: 0.9988 0.9988 0.0242
Rh: 0.7384 0.7384 0.7977
Sr: 0.5009 0.5009 0.5092

=====

Material: CoNi2Se
Method: DFT, PBE
State: relaxed

Values from the calculation:
DOS at the Fermi energy in states/eV/f.u.: 4.40
Formation energy (no corrections) in eV/atom: 0.192

Cell: 4.3713 4.3713 4.2075 Å, 80.40 80.40 38.92°
Element x y z (fractional)
Co: 0.2500 0.2500 0.2500
Ni: 0.9948 0.9948 0.0110
Ni: 0.5052 0.5052 0.4890
Se: 0.7500 0.7500 0.7500

=====

Material: TbSm2ScIn2
Method: DFT, PBE
State: relaxed

Values from the calculation:
DOS at the Fermi energy in states/eV/f.u.: 7.31
DFT formation energy in eV per atom: -0.344

Cell: 5.2901 6.7766 9.3624 Å, 90.00 90.00 90.00°
Element x y z (fractional)
Tb: 0.0000 0.0027 0.4850
Tb: 0.0000 0.5027 0.5150
Sm: 0.5000 0.0097 0.0170
Sm: 0.0000 0.2789 0.1659
Sm: 0.5000 0.5097 0.9830
Sm: 0.0000 0.7789 0.8341
Sc: 0.5000 0.2376 0.6708
Sc: 0.5000 0.7376 0.3292
In: 0.0000 0.2639 0.8229
In: 0.5000 0.2528 0.3519
In: 0.0000 0.7639 0.1771
In: 0.5000 0.7528 0.6481

=====

Material: Ce2BeAu
Method: DFT, PBE
State: relaxed

Values from the calculation:
DOS at the Fermi energy in states/eV/f.u.: 7.87
Excess energy over the best structure of this formula in the dataset in meV per atom: 649
DFT formation energy in eV per atom: 0.446

Cell: 2.9643 2.9643 11.4509 Å, 82.56 82.56 60.00°
Element x y z (fractional)
Be: 0.0000 0.0000 0.0000
Au: 0.5000 0.5000 0.5000
Ce: 0.0864 0.0864 0.7408
Ce: 0.9136 0.9136 0.2592

=====

Material: Y2PSe
Method: DFT, PBE
State: relaxed

Values from the calculation:
DOS at the Fermi energy in states/eV/f.u.: 2.77
Excess energy over the best structure of this formula in the dataset in meV per atom: 71
Formation energy (no corrections) in eV/atom: -1.725

Cell: 7.3518 7.3518 7.3518 Å, 31.39 31.39 31.39°
Element x y z (fractional)
Y: 0.9909 0.9909 0.9909
Y: 0.1760 0.1760 0.1760
P: 0.5818 0.5818 0.5818
Se: 0.7513 0.7513 0.7513

=====

Material: Mg2BeBPt6
Method: DFT, PBE
State: relaxed

Values from the calculation:
DOS at the Fermi energy in states/eV/f.u.: 2.09
DFT formation energy in eV per atom: -0.501

Cell: 5.7401 6.3198 6.2491 Å, 55.06 62.24 89.86°
Element x y z (fractional)
Mg: 0.7340 0.2605 0.5286
Mg: 0.2660 0.7395 0.4714
Be: 0.0000 0.0000 0.0000
B: 0.5000 0.5000 0.0000
Pt: 0.2525 0.2441 0.4923
Pt: 0.7580 0.7454 0.9879
Pt: 0.2528 0.7448 0.9884
Pt: 0.7472 0.2552 0.0116
Pt: 0.2420 0.2546 0.0121
Pt: 0.7475 0.7559 0.5077

=====

Material: MnCd2Co
Method: DFT, PBE
State: relaxed

Values from the calculation:
DOS at the Fermi energy in states/eV/f.u.: 3.35
Excess energy over the best structure of this formula in the dataset in meV per atom: 166
DFT formation energy in eV per atom: 0.316

Cell: 4.0573 2.8564 6.3514 Å, 63.57 90.00 90.00°
Element x y z (fractional)
Cd: 0.0000 0.9945 0.0060
Cd: 0.0000 0.5055 0.4940
Co: 0.5000 0.2500 0.2500
Mn: 0.5000 0.7500 0.7500

=====

Material: KRb3Mg2F9
Method: DFT, PBE
State: relaxed

Values from the calculation:
DOS at the Fermi energy in states/eV/f.u.: 15.01
Formation energy (no corrections) in eV/atom: -2.889

Cell: 6.0784 6.0784 7.8928 Å, 90.00 90.00 120.00°
Element x y z (fractional)
K: 0.0000 0.0000 0.5000
Rb: 0.3333 0.6667 0.6737
Rb: 0.0000 0.0000 0.0000
Rb: 0.6667 0.3333 0.3263
Mg: 0.3333 0.6667 0.1392
Mg: 0.6667 0.3333 0.8608
F: 0.8166 0.1834 0.7074
F: 0.8166 0.6332 0.7074
F: 0.3668 0.1834 0.7074
F: 0.6332 0.8166 0.2926
F: 0.1834 0.3668 0.2926
F: 0.1834 0.8166 0.2926
F: 0.5000 0.0000 0.0000
F: 0.0000 0.5000 0.0000
F: 0.5000 0.5000 0.0000

=====

Material: Si2TcW
Method: DFT, PBE
State: relaxed

Values from the calculation:
DOS at the Fermi energy in states/eV/f.u.: 1.42
Excess energy over the best structure of this formula in the dataset in meV per atom: 0
Formation energy (no corrections) in eV/atom: -0.376

Cell: 3.1380 3.1380 5.6083 Å, 90.00 90.00 90.00°
Element x y z (fractional)
Si: 0.0000 0.0000 0.0041
Si: 0.5000 0.5000 0.2525
Tc: 0.0000 0.0000 0.4619
W: 0.5000 0.5000 0.7814

=====

Material: MnFeCu2
Method: DFT, PBE
State: relaxed

Values from the calculation:
DOS at the Fermi energy in states/eV/f.u.: 2.57
DFT formation energy in eV per atom: 0.181

Cell: 4.4488 4.4488 4.5566 Å, 80.03 80.03 33.84°
Element x y z (fractional)
Cu: 0.9993 0.9993 0.0001
Cu: 0.2499 0.2499 0.2533
Fe: 0.4985 0.4985 0.4935
Mn: 0.7523 0.7523 0.7531

=====

Material: LaGe4Pd12
Method: DFT, PBE
State: relaxed

Values from the calculation:
DOS at the Fermi energy in states/eV/f.u.: 5.95
DFT formation energy in eV per atom: -0.310

Cell: 7.4188 7.4188 7.4188 Å, 109.47 109.47 109.47°
Element x y z (fractional)
La: 0.0000 0.0000 0.0000
Ge: 0.0000 0.5000 0.0000
Ge: 0.5000 0.0000 0.0000
Ge: 0.5000 0.5000 0.5000
Ge: 0.0000 0.0000 0.5000
Pd: 0.8382 0.3444 0.1826
Pd: 0.3444 0.5061 0.1618
Pd: 0.8174 0.1618 0.6556
Pd: 0.3444 0.1826 0.8382
Pd: 0.1826 0.8382 0.3444
Pd: 0.6556 0.4939 0.8382
Pd: 0.5061 0.1618 0.3444
Pd: 0.4939 0.8382 0.6556
Pd: 0.6556 0.8174 0.1618
Pd: 0.8382 0.6556 0.4939
Pd: 0.1618 0.3444 0.5061
Pd: 0.1618 0.6556 0.8174

=====

Material: Sc2ReBr
Method: DFT, PBE
State: relaxed

Values from the calculation:
DOS at the Fermi energy in states/eV/f.u.: 4.27
Excess energy over the best structure of this formula in the dataset in meV per atom: 752
Formation energy (no corrections) in eV/atom: 0.217

Cell: 3.0816 3.0816 10.0565 Å, 90.00 90.00 111.19°
Element x y z (fractional)
Br: 0.0000 0.0000 0.4534
Re: 0.5000 0.5000 0.7971
Sc: 0.0000 0.0000 0.9911
Sc: 0.5000 0.5000 0.2584

=====

- Among the records above, which one has the highest DOS at the Fermi energy?
  KRb3Mg2F9

=====

- Number 5 is which compound?
  Y2PSe

=====

Copy entry 12 word for word.
Material: Sc2ReBr
Method: DFT, PBE
State: relaxed

Values from the calculation:
DOS at the Fermi energy in states/eV/f.u.: 4.27
Excess energy over the best structure of this formula in the dataset in meV per atom: 752
Formation energy (no corrections) in eV/atom: 0.217

Cell: 3.0816 3.0816 10.0565 Å, 90.00 90.00 111.19°
Element x y z (fractional)
Br: 0.0000 0.0000 0.4534
Re: 0.5000 0.5000 0.7971
Sc: 0.0000 0.0000 0.9911
Sc: 0.5000 0.5000 0.2584

=====

Please write out number 3 again, unchanged.
Material: TbSm2ScIn2
Method: DFT, PBE
State: relaxed

Values from the calculation:
DOS at the Fermi energy in states/eV/f.u.: 7.31
DFT formation energy in eV per atom: -0.344

Cell: 5.2901 6.7766 9.3624 Å, 90.00 90.00 90.00°
Element x y z (fractional)
Tb: 0.0000 0.0027 0.4850
Tb: 0.0000 0.5027 0.5150
Sm: 0.5000 0.0097 0.0170
Sm: 0.0000 0.2789 0.1659
Sm: 0.5000 0.5097 0.9830
Sm: 0.0000 0.7789 0.8341
Sc: 0.5000 0.2376 0.6708
Sc: 0.5000 0.7376 0.3292
In: 0.0000 0.2639 0.8229
In: 0.5000 0.2528 0.3519
In: 0.0000 0.7639 0.1771
In: 0.5000 0.7528 0.6481